(1)
Computed, not measured: a geometry-optimized AcNd2Sm6 structure at the PBE level of DFT.

* crystal system: monoclinic
* polymorph energy (0 for the lowest one): 6 meV/atom
* M_tot: 0.000 μB per formula unit
* total DFT energy (no corrections): -4.5483 eV/atom
* energy relative to the elements: 1.02 eV per formula unit

a = 7.189 Å, b = 9.133 Å, c = 16.137 Å
α = 142.72°, β = 90.00°, γ = 90.00°
Positions (direct):
Sm1 0.230 0.270 0.067
Sm2 0.270 0.770 0.567
Sm3 0.770 0.730 0.933
Sm4 0.000 0.246 0.842
Sm5 0.771 0.270 0.067
Sm6 0.730 0.230 0.433
Sm7 0.729 0.770 0.567
Sm8 0.500 0.746 0.342
Sm9 0.229 0.730 0.933
Sm10 0.000 0.754 0.158
Sm11 0.271 0.230 0.433
Sm12 0.500 0.254 0.658
Nd1 0.000 0.697 0.722
Nd2 0.500 0.197 0.222
Nd3 0.500 0.803 0.778
Nd4 0.000 0.303 0.278
Ac1 0.500 0.500 0.000
Ac2 0.000 0.000 0.500

=====

(2)
Computed, not measured: a geometry-optimized NaHgBi3 structure at the PBE level of DFT.

* crystal system: cubic
* polymorph energy (0 for the lowest one): 452 meV/atom
* M_tot: 0.000 μB per formula unit
* total DFT energy (no corrections): -2.2577 eV/atom
* energy relative to the elements: 1.98 eV per formula unit

a = 5.809 Å, b = 5.809 Å, c = 5.809 Å
α = 90.00°, β = 90.00°, γ = 90.00°
Positions (direct):
Na1 0.500 0.500 0.500
Bi1 0.500 0.000 0.000
Bi2 0.000 0.000 0.500
Bi3 0.000 0.500 0.000
Hg1 0.000 0.000 0.000

=====

(3)
Computed, not measured: a geometry-optimized Tc2Mo3W3 structure at the PBE level of DFT.

* crystal system: monoclinic
* M_tot: 0.000 μB per formula unit
* total DFT energy (no corrections): -11.4708 eV/atom
* energy relative to the elements: 0.32 eV per formula unit

a = 4.453 Å, b = 4.456 Å, c = 7.068 Å
α = 108.43°, β = 108.36°, γ = 90.00°
Positions (direct):
Mo1 0.623 0.123 0.246
Mo2 0.377 0.877 0.754
Mo3 0.500 0.500 0.000
W1 0.875 0.375 0.750
W2 0.125 0.625 0.250
W3 0.000 0.000 0.000
Tc1 0.749 0.750 0.499
Tc2 0.251 0.250 0.501

=====

(4)
Computed, not measured: a geometry-optimized RuW2Br structure at the PBE level of DFT.

* crystal system: orthorhombic
* polymorph energy (0 for the lowest one): 220 meV/atom
* M_tot: 0.001 μB per formula unit
* total DFT energy (no corrections): -8.5040 eV/atom

a = 2.895 Å, b = 2.895 Å, c = 8.931 Å
α = 90.00°, β = 90.00°, γ = 113.95°
Positions (direct):
Br1 0.000 0.000 0.496
W1 0.500 0.500 0.236
W2 0.000 0.000 0.997
Ru1 0.500 0.500 0.771

=====

(5)
Computed, not measured: a geometry-optimized Ho5TlIn2 structure at the PBE level of DFT.

* crystal system: tetragonal
* M_tot: 0.001 μB per formula unit
* total DFT energy (no corrections): -4.1749 eV/atom
* energy relative to the elements: -2.67 eV per formula unit

a = 8.011 Å, b = 8.011 Å, c = 9.118 Å
α = 116.06°, β = 116.06°, γ = 90.00°
Positions (direct):
Ho1 0.187 0.010 0.697
Ho2 0.687 0.187 0.697
Ho3 0.313 0.813 0.303
Ho4 0.490 0.313 0.303
Ho5 0.990 0.490 0.303
Ho6 0.813 0.990 0.303
Ho7 0.000 0.000 0.000
Ho8 0.010 0.510 0.697
Ho9 0.500 0.500 0.000
Ho10 0.510 0.687 0.697
Tl1 0.750 0.750 0.500
Tl2 0.250 0.250 0.500
In1 0.632 0.132 0.000
In2 0.368 0.868 0.000
In3 0.868 0.632 0.000
In4 0.132 0.368 0.000

=====

(6)
Computed, not measured: a geometry-optimized CdInHg4 structure at the PBE level of DFT.

* crystal system: cubic
* polymorph energy (0 for the lowest one): 88 meV/atom
* M_tot: 0.000 μB per formula unit
* total DFT energy (no corrections): -0.6998 eV/atom
* energy relative to the elements: 0.66 eV per formula unit

a = 6.169 Å, b = 6.169 Å, c = 6.169 Å
α = 60.00°, β = 60.00°, γ = 60.00°
Positions (direct):
Cd1 0.000 0.000 0.000
Hg1 0.375 0.875 0.375
Hg2 0.375 0.375 0.375
Hg3 0.375 0.375 0.875
Hg4 0.875 0.375 0.375
In1 0.750 0.750 0.750

=====

(7)
Computed, not measured: a geometry-optimized Pa2Si3Pt structure at the PBE level of DFT.

* crystal system: orthorhombic
* M_tot: 0.001 μB per formula unit
* total DFT energy (no corrections): -7.6518 eV/atom

a = 5.736 Å, b = 5.736 Å, c = 8.110 Å
α = 110.30°, β = 110.30°, γ = 91.09°
Positions (direct):
Pt1 0.663 0.663 0.327
Pt2 0.337 0.337 0.673
Si1 0.838 0.327 0.166
Si2 0.673 0.162 0.834
Si3 0.833 0.833 0.667
Si4 0.167 0.167 0.333
Si5 0.162 0.673 0.834
Si6 0.327 0.838 0.166
Pa1 0.245 0.245 0.000
Pa2 0.755 0.755 0.000
Pa3 0.750 0.250 0.500
Pa4 0.250 0.750 0.500

=====

(8)
Computed, not measured: a geometry-optimized Pm4PtAu2 structure at the PBE level of DFT.

* crystal system: monoclinic
* polymorph energy (0 for the lowest one): 0 meV/atom
* M_tot: 0.000 μB per formula unit
* total DFT energy (no corrections): -5.2530 eV/atom
* energy relative to the elements: -5.17 eV per formula unit

a = 4.686 Å, b = 6.094 Å, c = 7.628 Å
α = 105.25°, β = 107.89°, γ = 90.00°
Positions (direct):
Pt1 0.000 0.000 0.000
Pm1 0.415 0.718 0.831
Pm2 0.844 0.196 0.688
Pm3 0.585 0.282 0.169
Pm4 0.156 0.804 0.312
Au1 0.769 0.674 0.537
Au2 0.231 0.326 0.463

=====

Number 1: mass density 7.337 g/cm³. Number 2: mass density 7.207 g/cm³. Number 3: mass density 13.697 g/cm³. Number 4: mass density 13.316 g/cm³. Number 5: mass density 9.117 g/cm³. Number 6: mass density 10.301 g/cm³. Number 7: mass density 10.626 g/cm³. Number 8: mass density 9.745 g/cm³.